A relaxed CsK2SnHg crystal. Source: the Alexandria database, functional PBE-GGA. Values from VASP.

Structure (Quantum ESPRESSO input):
```
&SYSTEM
  ibrav = 0, nat = 5, ntyp = 4
/
ATOMIC_SPECIES
Cs 132.91 Cs.upf
K 39.10 K.upf
Sn 118.71 Sn.upf
Hg 200.59 Hg.upf
CELL_PARAMETERS angstrom
6.865 0.000 0.000
0.000 6.865 0.000
0.000 0.000 5.916
ATOMIC_POSITIONS crystal
Cs 0.000 0.000 0.000
K 0.000 0.500 0.500
K 0.500 0.000 0.500
Sn 0.500 0.500 0.500
Hg 0.500 0.500 0.000
```

- SG: P4/mmm, No. 123
- D(E_F): 4.4 states/eV/cell
- E: -1.522 eV/atom
- Energy of formation: -0.051 eV per atom
- Energy above the most stable polymorph in this dataset: 6.7 kJ/mol of formula units